This record from Alexandria via LeMat-Bulk describes a relaxed Li3Nb crystal. The functional is PBE.

```
Li3Nb
1.0
6.360 0.000 0.000
0.000 6.360 0.000
0.000 0.000 6.360
Li Nb
12 4
Direct
0.000 0.000 0.000
0.000 0.500 0.500
0.250 0.250 0.250
0.250 0.250 0.750
0.250 0.750 0.250
0.250 0.750 0.750
0.500 0.000 0.500
0.500 0.500 0.000
0.750 0.250 0.250
0.750 0.250 0.750
0.750 0.750 0.250
0.750 0.750 0.750
0.000 0.000 0.500
0.000 0.500 0.000
0.500 0.000 0.000
0.500 0.500 0.500
```

Results
E above lowest polymorph = 19.2 meV per atom
Mass density = 2936 kg/m3
Formation enthalpy at 0 K = 697 meV per atom
Space group = Fm-3m
Crystal system = cubic
Uncorrected energy = -3.26 eV per atom